[1]
# Na2Ta (GGA-PBE, optimized geometry)
# raw total energy = -3.702 eV per atom
# volume = 270 Å³ per cell
# energy above the most stable polymorph in this dataset = 0.000 eV per atom
# total magnetic moment = 0.0 μB/cell
data_Na2Ta
_chemical_formula_sum 'Na8 Ta4'
_symmetry_space_group_name_H-M 'P 1'
_symmetry_Int_Tables_number 1
_symmetry_space_group_name_Hall 'P 1'
_cell_length_a 6.185
_cell_length_b 6.185
_cell_length_c 8.140
_cell_angle_alpha 90.00
_cell_angle_beta 90.00
_cell_angle_gamma 120.00
loop_
_atom_site_label
_atom_site_fract_x
_atom_site_fract_y
_atom_site_fract_z
Na1 0.000 0.000 0.000
Na2 0.183 0.365 0.250
Na3 0.183 0.817 0.250
Na4 0.635 0.817 0.250
Na5 0.000 0.000 0.500
Na6 0.365 0.183 0.750
Na7 0.817 0.183 0.750
Na8 0.817 0.635 0.750
Ta1 0.667 0.333 0.105
Ta2 0.667 0.333 0.395
Ta3 0.333 0.667 0.605
Ta4 0.333 0.667 0.895

[2]
# Na2Ta (GGA-PBE, optimized geometry)
# raw total energy = -3.528 eV per atom
# volume = 121 Å³ per cell
# energy above the most stable polymorph in this dataset = 0.174 eV per atom
# total magnetic moment = 0.3 μB/cell
data_Na2Ta
_chemical_formula_sum 'Na4 Ta2'
_symmetry_space_group_name_H-M 'P 1'
_symmetry_Int_Tables_number 1
_symmetry_space_group_name_Hall 'P 1'
_cell_length_a 5.556
_cell_length_b 5.556
_cell_length_c 5.556
_cell_angle_alpha 60.00
_cell_angle_beta 60.00
_cell_angle_gamma 60.00
loop_
_atom_site_label
_atom_site_fract_x
_atom_site_fract_y
_atom_site_fract_z
Na1 0.625 0.625 0.125
Na2 0.625 0.125 0.625
Na3 0.125 0.625 0.625
Na4 0.625 0.625 0.625
Ta1 0.000 0.000 0.000
Ta2 0.250 0.250 0.250

[3]
# Na2Ta (GGA-PBE, optimized geometry)
# raw total energy = -2.820 eV per atom
# volume = 101 Å³ per cell
# energy above the most stable polymorph in this dataset = 0.882 eV per atom
# total magnetic moment = 4.6 μB/cell
data_Na2Ta
_chemical_formula_sum 'Na2 Ta1'
_symmetry_space_group_name_H-M 'P 1'
_symmetry_Int_Tables_number 1
_symmetry_space_group_name_Hall 'P 1'
_cell_length_a 5.227
_cell_length_b 5.227
_cell_length_c 5.227
_cell_angle_alpha 60.00
_cell_angle_beta 60.00
_cell_angle_gamma 60.00
loop_
_atom_site_label
_atom_site_fract_x
_atom_site_fract_y
_atom_site_fract_z
Na1 0.250 0.250 0.250
Na2 0.750 0.750 0.750
Ta1 0.000 0.000 0.000

[4]
# NaTa5 (GGA-PBE, optimized geometry)
# raw total energy = -9.378 eV per atom
# volume = 130 Å³ per cell
# total magnetic moment = 0.0 μB/cell
data_NaTa5
_chemical_formula_sum 'Na1 Ta5'
_symmetry_space_group_name_H-M 'P 1'
_symmetry_Int_Tables_number 1
_symmetry_space_group_name_Hall 'P 1'
_cell_length_a 5.845
_cell_length_b 5.845
_cell_length_c 4.398
_cell_angle_alpha 90.00
_cell_angle_beta 90.00
_cell_angle_gamma 120.00
loop_
_atom_site_label
_atom_site_fract_x
_atom_site_fract_y
_atom_site_fract_z
Na1 0.000 0.000 0.000
Ta1 0.667 0.333 0.000
Ta2 0.333 0.667 0.000
Ta3 0.500 0.000 0.500
Ta4 0.000 0.500 0.500
Ta5 0.500 0.500 0.500

[5]
# NaTa2 (GGA-PBE, optimized geometry)
# raw total energy = -7.395 eV per atom
# volume = 128 Å³ per cell
# total magnetic moment = 0.0 μB/cell
data_NaTa2
_chemical_formula_sum 'Na2 Ta4'
_symmetry_space_group_name_H-M 'P 1'
_symmetry_Int_Tables_number 1
_symmetry_space_group_name_Hall 'P 1'
_cell_length_a 5.658
_cell_length_b 5.658
_cell_length_c 5.658
_cell_angle_alpha 60.00
_cell_angle_beta 60.00
_cell_angle_gamma 60.00
loop_
_atom_site_label
_atom_site_fract_x
_atom_site_fract_y
_atom_site_fract_z
Na1 0.000 0.000 0.000
Na2 0.250 0.250 0.250
Ta1 0.625 0.625 0.125
Ta2 0.625 0.125 0.625
Ta3 0.125 0.625 0.625
Ta4 0.625 0.625 0.625

[6]
# Na5Ta (GGA-PBE, optimized geometry)
# raw total energy = -2.314 eV per atom
# volume = 648 Å³ per cell
# total magnetic moment = 8.2 μB/cell
data_Na5Ta
_chemical_formula_sum 'Na20 Ta4'
_symmetry_space_group_name_H-M 'P 1'
_symmetry_Int_Tables_number 1
_symmetry_space_group_name_Hall 'P 1'
_cell_length_a 10.816
_cell_length_b 10.816
_cell_length_c 6.257
_cell_angle_alpha 93.51
_cell_angle_beta 93.51
_cell_angle_gamma 116.90
loop_
_atom_site_label
_atom_site_fract_x
_atom_site_fract_y
_atom_site_fract_z
Na1 0.661 0.078 0.006
Na2 0.078 0.661 0.006
Na3 0.589 0.299 0.225
Na4 0.299 0.589 0.225
Na5 0.217 0.056 0.228
Na6 0.056 0.217 0.228
Na7 0.877 0.877 0.279
Na8 0.884 0.541 0.376
Na9 0.541 0.884 0.376
Na10 0.375 0.375 0.454
Na11 0.625 0.625 0.546
Na12 0.459 0.116 0.624
Na13 0.116 0.459 0.624
Na14 0.123 0.123 0.721
Na15 0.944 0.783 0.772
Na16 0.783 0.944 0.772
Na17 0.701 0.411 0.775
Na18 0.411 0.701 0.775
Na19 0.922 0.339 0.994
Na20 0.339 0.922 0.994
Ta1 0.600 0.600 0.050
Ta2 0.802 0.198 0.500
Ta3 0.198 0.802 0.500
Ta4 0.400 0.400 0.950

[7]
# NaTa (GGA-PBE, optimized geometry)
# raw total energy = -4.026 eV per atom
# volume = 43 Å³ per cell
# energy above the most stable polymorph in this dataset = 1.805 eV per atom
# total magnetic moment = 0.2 μB/cell
data_NaTa
_chemical_formula_sum 'Na1 Ta1'
_symmetry_space_group_name_H-M 'P 1'
_symmetry_Int_Tables_number 1
_symmetry_space_group_name_Hall 'P 1'
_cell_length_a 3.921
_cell_length_b 3.921
_cell_length_c 3.921
_cell_angle_alpha 60.00
_cell_angle_beta 60.00
_cell_angle_gamma 60.00
loop_
_atom_site_label
_atom_site_fract_x
_atom_site_fract_y
_atom_site_fract_z
Na1 0.000 0.000 0.000
Ta1 0.500 0.500 0.500

[8]
# NaTa (GGA-PBE, optimized geometry)
# raw total energy = -5.831 eV per atom
# volume = 42 Å³ per cell
# energy above the most stable polymorph in this dataset = 0.000 eV per atom
# total magnetic moment = 0.0 μB/cell
data_NaTa
_chemical_formula_sum 'Na1 Ta1'
_symmetry_space_group_name_H-M 'P 1'
_symmetry_Int_Tables_number 1
_symmetry_space_group_name_Hall 'P 1'
_cell_length_a 2.855
_cell_length_b 2.855
_cell_length_c 5.909
_cell_angle_alpha 90.00
_cell_angle_beta 90.00
_cell_angle_gamma 120.00
loop_
_atom_site_label
_atom_site_fract_x
_atom_site_fract_y
_atom_site_fract_z
Na1 0.667 0.333 0.750
Ta1 0.333 0.667 0.250

[9]
# NaTaTe (GGA-PBE, optimized geometry)
# raw total energy = -4.744 eV per atom
# volume = 74 Å³ per cell
# energy above the most stable polymorph in this dataset = 0.000 eV per atom
# total magnetic moment = 1.7 μB/cell
data_NaTaTe
_chemical_formula_sum 'Na1 Ta1 Te1'
_symmetry_space_group_name_H-M 'P 1'
_symmetry_Int_Tables_number 1
_symmetry_space_group_name_Hall 'P 1'
_cell_length_a 4.703
_cell_length_b 4.703
_cell_length_c 4.703
_cell_angle_alpha 60.00
_cell_angle_beta 60.00
_cell_angle_gamma 60.00
loop_
_atom_site_label
_atom_site_fract_x
_atom_site_fract_y
_atom_site_fract_z
Na1 0.250 0.250 0.250
Ta1 0.750 0.750 0.750
Te1 0.000 0.000 0.000

[10]
# NaThTa (GGA-PBE, optimized geometry)
# raw total energy = -6.034 eV per atom
# volume = 215 Å³ per cell
# energy above the most stable polymorph in this dataset = 0.000 eV per atom
# total magnetic moment = 0.0 μB/cell
data_NaThTa
_chemical_formula_sum 'Na3 Th3 Ta3'
_symmetry_space_group_name_H-M 'P 1'
_symmetry_Int_Tables_number 1
_symmetry_space_group_name_Hall 'P 1'
_cell_length_a 5.295
_cell_length_b 5.295
_cell_length_c 8.855
_cell_angle_alpha 90.00
_cell_angle_beta 90.00
_cell_angle_gamma 120.00
loop_
_atom_site_label
_atom_site_fract_x
_atom_site_fract_y
_atom_site_fract_z
Na1 0.000 0.000 0.000
Na2 0.667 0.333 0.357
Na3 0.667 0.333 0.643
Ta1 0.333 0.667 0.173
Ta2 0.333 0.667 0.500
Ta3 0.333 0.667 0.827
Th1 0.667 0.333 0.000
Th2 0.000 0.000 0.331
Th3 0.000 0.000 0.669

[11]
# NaThTa (GGA-PBE, optimized geometry)
# raw total energy = -5.166 eV per atom
# volume = 88 Å³ per cell
# energy above the most stable polymorph in this dataset = 0.868 eV per atom
# total magnetic moment = 1.9 μB/cell
data_NaThTa
_chemical_formula_sum 'Na1 Th1 Ta1'
_symmetry_space_group_name_H-M 'P 1'
_symmetry_Int_Tables_number 1
_symmetry_space_group_name_Hall 'P 1'
_cell_length_a 5.000
_cell_length_b 5.000
_cell_length_c 5.000
_cell_angle_alpha 60.00
_cell_angle_beta 60.00
_cell_angle_gamma 60.00
loop_
_atom_site_label
_atom_site_fract_x
_atom_site_fract_y
_atom_site_fract_z
Na1 0.500 0.500 0.500
Ta1 0.000 0.000 0.000
Th1 0.250 0.250 0.250

[12]
# NaThTa (GGA-PBE, optimized geometry)
# raw total energy = -5.414 eV per atom
# volume = 86 Å³ per cell
# energy above the most stable polymorph in this dataset = 0.620 eV per atom
# total magnetic moment = 2.0 μB/cell
data_NaThTa
_chemical_formula_sum 'Na1 Th1 Ta1'
_symmetry_space_group_name_H-M 'P 1'
_symmetry_Int_Tables_number 1
_symmetry_space_group_name_Hall 'P 1'
_cell_length_a 4.962
_cell_length_b 4.962
_cell_length_c 4.962
_cell_angle_alpha 60.00
_cell_angle_beta 60.00
_cell_angle_gamma 60.00
loop_
_atom_site_label
_atom_site_fract_x
_atom_site_fract_y
_atom_site_fract_z
Na1 0.750 0.750 0.750
Ta1 0.000 0.000 0.000
Th1 0.250 0.250 0.250